Compound: BaPd2Au3
Source: Alexandria via LeMat-Bulk
Functional: PBE-GGA
Structure: optimized geometry

Computed properties:
Its formation energy is -254 meV per atom. As for the volume: 22.44 A^3/atom. For the total magnetization, the calculation gives 0.000 μB/cell. The mass density is 11606 kg/m3. The crystal system is trigonal.

a b c (Å): 5.6971 5.6971 28.7410
angles (deg): 90.00 90.00 120.00
Space group R-3m (No. 166, hexagonal axes)
Unique sites:
Ba: 0.0000 0.0000 0.1982 (multiplicity 6)
Pd: 0.0000 0.0000 0.0000 (multiplicity 3)
Pd: 0.0000 0.5000 0.0000 (multiplicity 9)
Au: 0.9996 0.4998 0.2522 (multiplicity 18)



Compound: BaPd4Au
Source: Alexandria via LeMat-Bulk
Functional: PBE-GGA
Structure: optimized geometry

Computed properties:
Its formation energy is -181 meV per atom. As for the volume: 21.69 A^3/atom. For the total magnetization, the calculation gives 0.000 μB/cell. The mass density is 9698 kg/m3. The crystal system is orthorhombic.

a b c (Å): 7.933 4.262 7.697
angles (deg): 90.00 90.00 90.00
Space group Pmma (No. 51)
Unique sites:
Ba: 0.250 0.000 0.141 (multiplicity 2)
Pd: 0.000 0.000 0.500 (multiplicity 2)
Pd: 0.037 0.500 0.748 (multiplicity 4)
Pd: 0.250 0.500 0.463 (multiplicity 2)
Au: 0.250 0.000 0.734 (multiplicity 2)



Compound: Ba12Pd5Au2
Source: Alexandria via LeMat-Bulk
Functional: PBE-GGA
Structure: optimized geometry

Computed properties:
Its formation energy is -425 meV per atom. As for the volume: 43.56 A^3/atom. For the total magnetization, the calculation gives 0.000 μB/cell. The mass density is 5164 kg/m3. The crystal system is monoclinic.

a b c (Å): 17.085 8.768 11.548
angles (deg): 90.00 106.87 90.00
Space group C2/m (No. 12)
Unique sites:
Ba: 0.039 0.000 0.332 (multiplicity 4)
Ba: 0.076 0.500 0.310 (multiplicity 4)
Ba: 0.131 0.254 0.999 (multiplicity 8)
Ba: 0.191 0.250 0.650 (multiplicity 8)
Pd: 0.000 0.500 0.000 (multiplicity 2)
Pd: 0.220 0.000 0.868 (multiplicity 4)
Pd: 0.231 0.000 0.481 (multiplicity 4)
Au: 0.000 0.290 0.500 (multiplicity 4)